# AgHPd2Rh (GGA-PBE, relaxed)
# E_tot = -4.62 eV per atom
# energy relative to the lowest polymorph listed for this composition = 120 meV/atom
# M_tot = 0.0000 μB/atom
# crystal system = tetragonal
data_AgHPd2Rh
_chemical_formula_sum 'Ag1 H1 Pd2 Rh1'
_symmetry_space_group_name_H-M 'P 4/m m m'
_symmetry_Int_Tables_number 123
_symmetry_space_group_name_Hall '-P 4 2'
_cell_length_a 3.9755
_cell_length_b 3.9755
_cell_length_c 4.1248
_cell_angle_alpha 90.00
_cell_angle_beta 90.00
_cell_angle_gamma 90.00
loop_
_atom_site_label
_atom_site_type_symbol
_atom_site_fract_x
_atom_site_fract_y
_atom_site_fract_z
Ag1 Ag 0.0000 0.0000 0.0000
H1 H 0.0000 0.0000 0.5000
Pd1 Pd 0.0000 0.5000 0.5000
Rh1 Rh 0.5000 0.5000 0.0000

***

# Rh2SeF (GGA-PBE, relaxed)
# E_form (uncorrected) = -0.376 eV per atom
# E_tot = -5.39 eV per atom
# energy relative to the lowest polymorph listed for this composition = 0 meV/atom
# M_tot = 0.0000 μB/atom
# crystal system = cubic
data_Rh2SeF
_chemical_formula_sum 'Rh8 Se4 F4'
_symmetry_space_group_name_H-M 'F m -3 m'
_symmetry_Int_Tables_number 225
_symmetry_space_group_name_Hall '-F 4 2 3'
_cell_length_a 5.9869
_cell_length_b 5.9869
_cell_length_c 5.9869
_cell_angle_alpha 90.00
_cell_angle_beta 90.00
_cell_angle_gamma 90.00
loop_
_atom_site_label
_atom_site_type_symbol
_atom_site_fract_x
_atom_site_fract_y
_atom_site_fract_z
Rh1 Rh 0.2500 0.2500 0.2500
Se1 Se 0.0000 0.0000 0.0000
F1 F 0.0000 0.0000 0.5000

***

# VAsSe2 (GGA-PBE, relaxed)
# E_form (uncorrected) = -0.279 eV per atom
# E_tot = -5.46 eV per atom
# M_tot = 0.0000 μB/atom
# crystal system = trigonal
data_VAsSe2
_chemical_formula_sum 'V3 As3 Se6'
_symmetry_space_group_name_H-M 'R -3 m'
_symmetry_Int_Tables_number 166
_symmetry_space_group_name_Hall '-R 3 2"'
_cell_length_a 3.2863
_cell_length_b 3.2863
_cell_length_c 25.8175
_cell_angle_alpha 90.00
_cell_angle_beta 90.00
_cell_angle_gamma 120.00
loop_
_atom_site_label
_atom_site_type_symbol
_atom_site_fract_x
_atom_site_fract_y
_atom_site_fract_z
V1 V 0.0000 0.0000 0.0000
As1 As 0.0000 0.0000 0.5000
Se1 Se 0.0000 0.0000 0.3951

***

# KCuAg2 (GGA-PBE, relaxed)
# E_tot = -2.28 eV per atom
# energy relative to the lowest polymorph listed for this composition = 217 meV/atom
# M_tot = 0.0000 μB/atom
# crystal system = cubic
# ΔE_f = 0.447 eV per atom
data_KCuAg2
_chemical_formula_sum 'K4 Cu4 Ag8'
_symmetry_space_group_name_H-M 'F m -3 m'
_symmetry_Int_Tables_number 225
_symmetry_space_group_name_Hall '-F 4 2 3'
_cell_length_a 7.0745
_cell_length_b 7.0745
_cell_length_c 7.0745
_cell_angle_alpha 90.00
_cell_angle_beta 90.00
_cell_angle_gamma 90.00
loop_
_atom_site_label
_atom_site_type_symbol
_atom_site_fract_x
_atom_site_fract_y
_atom_site_fract_z
K1 K 0.0000 0.0000 0.0000
Cu1 Cu 0.0000 0.0000 0.5000
Ag1 Ag 0.2500 0.2500 0.2500

***

# DyBe2TeO8 (GGA-PBE, relaxed)
# E_form (uncorrected) = -1.562 eV per atom
# E_tot = -6.13 eV per atom
# M_tot = 0.2450 μB/atom
# crystal system = trigonal
data_DyBe2TeO8
_chemical_formula_sum 'Dy1 Be2 Te1 O8'
_symmetry_space_group_name_H-M 'P -3 m 1'
_symmetry_Int_Tables_number 164
_symmetry_space_group_name_Hall '-P 3 2"'
_cell_length_a 5.2406
_cell_length_b 5.2406
_cell_length_c 6.3318
_cell_angle_alpha 90.00
_cell_angle_beta 90.00
_cell_angle_gamma 120.00
loop_
_atom_site_label
_atom_site_type_symbol
_atom_site_fract_x
_atom_site_fract_y
_atom_site_fract_z
Dy1 Dy 0.0000 0.0000 0.0000
Be1 Be 0.3333 0.6667 0.2539
Te1 Te 0.0000 0.0000 0.5000
O1 O 0.1606 0.3212 0.3005
O2 O 0.3333 0.6667 0.9938

***

# Ta2BeAlAs (GGA-PBE, relaxed)
# E_tot = -6.69 eV per atom
# M_tot = 0.0000 μB/atom
# crystal system = tetragonal
# ΔE_f = 0.478 eV per atom
data_Ta2BeAlAs
_chemical_formula_sum 'Ta2 Be1 Al1 As1'
_symmetry_space_group_name_H-M 'P 4/m m m'
_symmetry_Int_Tables_number 123
_symmetry_space_group_name_Hall '-P 4 2'
_cell_length_a 4.5327
_cell_length_b 4.5327
_cell_length_c 3.9741
_cell_angle_alpha 90.00
_cell_angle_beta 90.00
_cell_angle_gamma 90.00
loop_
_atom_site_label
_atom_site_type_symbol
_atom_site_fract_x
_atom_site_fract_y
_atom_site_fract_z
Ta1 Ta 0.0000 0.5000 0.0000
Be1 Be 0.0000 0.0000 0.0000
Al1 Al 0.0000 0.0000 0.5000
As1 As 0.5000 0.5000 0.5000

***

# HoScOsPt (GGA-PBE, relaxed)
# E_tot = -7.77 eV per atom
# M_tot = 0.0000 μB/atom
# crystal system = cubic
# ΔE_f = -0.729 eV per atom
data_HoScOsPt
_chemical_formula_sum 'Ho4 Sc4 Os4 Pt4'
_symmetry_space_group_name_H-M 'F -4 3 m'
_symmetry_Int_Tables_number 216
_symmetry_space_group_name_Hall 'F -4 2 3'
_cell_length_a 6.6830
_cell_length_b 6.6830
_cell_length_c 6.6830
_cell_angle_alpha 90.00
_cell_angle_beta 90.00
_cell_angle_gamma 90.00
loop_
_atom_site_label
_atom_site_type_symbol
_atom_site_fract_x
_atom_site_fract_y
_atom_site_fract_z
Ho1 Ho 0.0000 0.0000 0.0000
Sc1 Sc 0.0000 0.0000 0.5000
Os1 Os 0.2500 0.2500 0.2500
Pt1 Pt 0.2500 0.2500 0.7500

***

# Rb2NaBr4 (GGA-PBE, relaxed)
# E_form (uncorrected) = -1.299 eV per atom
# E_tot = -2.72 eV per atom
# M_tot = 0.1663 μB/atom
# crystal system = tetragonal
data_Rb2NaBr4
_chemical_formula_sum 'Rb4 Na2 Br8'
_symmetry_space_group_name_H-M 'I 4/m m m'
_symmetry_Int_Tables_number 139
_symmetry_space_group_name_Hall '-I 4 2'
_cell_length_a 5.6538
_cell_length_b 5.6538
_cell_length_c 17.4427
_cell_angle_alpha 90.00
_cell_angle_beta 90.00
_cell_angle_gamma 90.00
loop_
_atom_site_label
_atom_site_type_symbol
_atom_site_fract_x
_atom_site_fract_y
_atom_site_fract_z
Rb1 Rb 0.0000 0.0000 0.1330
Na1 Na 0.0000 0.0000 0.5000
Br1 Br 0.0000 0.0000 0.3295
Br2 Br 0.0000 0.5000 0.0000

***

# Ca2Pr3PaN6 (GGA-PBE, relaxed)
# E_form (uncorrected) = -1.348 eV per atom
# E_tot = -7.83 eV per atom
# M_tot = 0.0000 μB/atom
# crystal system = monoclinic
data_Ca2Pr3PaN6
_chemical_formula_sum 'Ca4 Pr6 Pa2 N12'
_symmetry_space_group_name_H-M 'C 1 2/m 1'
_symmetry_Int_Tables_number 12
_symmetry_space_group_name_Hall '-C 2y'
_cell_length_a 6.2689
_cell_length_b 10.8351
_cell_length_c 6.2634
_cell_angle_alpha 90.00
_cell_angle_beta 109.51
_cell_angle_gamma 90.00
loop_
_atom_site_label
_atom_site_type_symbol
_atom_site_fract_x
_atom_site_fract_y
_atom_site_fract_z
Ca1 Ca 0.0000 0.1661 0.0000
Pr1 Pr 0.0000 0.0000 0.5000
Pr2 Pr 0.0000 0.3326 0.5000
Pa1 Pa 0.0000 0.5000 0.0000
N1 N 0.2214 0.5000 0.7601
N2 N 0.2311 0.3489 0.2417

***

# BaZrAs2 (GGA-PBE, relaxed)
# E_tot = -5.39 eV per atom
# energy relative to the lowest polymorph listed for this composition = 636 meV/atom
# M_tot = 0.0000 μB/atom
# crystal system = monoclinic
# ΔE_f = -0.447 eV per atom
data_BaZrAs2
_chemical_formula_sum 'Ba2 Zr2 As4'
_symmetry_space_group_name_H-M 'C 1 2/m 1'
_symmetry_Int_Tables_number 12
_symmetry_space_group_name_Hall '-C 2y'
_cell_length_a 7.9171
_cell_length_b 7.9707
_cell_length_c 3.1643
_cell_angle_alpha 90.00
_cell_angle_beta 96.65
_cell_angle_gamma 90.00
loop_
_atom_site_label
_atom_site_type_symbol
_atom_site_fract_x
_atom_site_fract_y
_atom_site_fract_z
Ba1 Ba 0.0000 0.0000 0.0000
Zr1 Zr 0.0000 0.5000 0.0000
As1 As 0.2500 0.2500 0.5000

***

# La2Zn2HgRh5 (GGA-PBE, relaxed)
# E_tot = -5.42 eV per atom
# M_tot = 0.0000 μB/atom
# crystal system = tetragonal
# ΔE_f = -0.474 eV per atom
data_La2Zn2HgRh5
_chemical_formula_sum 'La4 Zn4 Hg2 Rh10'
_symmetry_space_group_name_H-M 'P 4/m b m'
_symmetry_Int_Tables_number 127
_symmetry_space_group_name_Hall '-P 4 2ab'
_cell_length_a 9.8258
_cell_length_b 9.8258
_cell_length_c 3.7901
_cell_angle_alpha 90.00
_cell_angle_beta 90.00
_cell_angle_gamma 90.00
loop_
_atom_site_label
_atom_site_type_symbol
_atom_site_fract_x
_atom_site_fract_y
_atom_site_fract_z
La1 La 0.1786 0.3214 0.0000
Zn1 Zn 0.1189 0.6189 0.0000
Hg1 Hg 0.0000 0.0000 0.0000
Rh1 Rh 0.0000 0.5000 0.5000
Rh2 Rh 0.0693 0.7889 0.5000

***

# AlAsHSe2 (GGA-PBE, relaxed)
# E_tot = -3.33 eV per atom
# energy relative to the lowest polymorph listed for this composition = 0 meV/atom
# M_tot = 0.0000 μB/atom
# crystal system = tetragonal
data_AlAsHSe2
_chemical_formula_sum 'Al1 As1 H1 Se2'
_symmetry_space_group_name_H-M 'P 4/m m m'
_symmetry_Int_Tables_number 123
_symmetry_space_group_name_Hall '-P 4 2'
_cell_length_a 4.9389
_cell_length_b 4.9389
_cell_length_c 3.4589
_cell_angle_alpha 90.00
_cell_angle_beta 90.00
_cell_angle_gamma 90.00
loop_
_atom_site_label
_atom_site_type_symbol
_atom_site_fract_x
_atom_site_fract_y
_atom_site_fract_z
Al1 Al 0.0000 0.0000 0.0000
As1 As 0.5000 0.5000 0.0000
H1 H 0.5000 0.5000 0.5000
Se1 Se 0.0000 0.5000 0.5000